Entry from the Alexandria database: a relaxed structure of YSnN2O (PBE-GGA).

The uncorrected formation energy comes out at 0.15 eV/atom. Its total magnetic moment is 3.0 Bohr magnetons per cell. The calculation puts the calculated total energy at -6.26 eV/atom.

The space group is P4/mmm (No. 123) and the conventional cell measures 4.544, 4.544 and 4.338 Å, with angles of 90.00, 90.00 and 90.00 degrees. Symmetry generates all atoms from Y at (0.000, 0.000, 0.000), Sn at (0.500, 0.500, 0.500), N at (0.000, 0.500, 0.000) and O at (0.000, 0.000, 0.500).